(1)
A relaxed Pm2Ga3PdAu4 crystal, computed with PBE.

CIF file:
```
data_Pm2Ga3PdAu4
_chemical_formula_sum 'Pm2 Ga3 Pd1 Au4'
_cell_length_a 4.2474
_cell_length_b 4.2474
_cell_length_c 11.4661
_cell_angle_alpha 90.00
_cell_angle_beta 90.00
_cell_angle_gamma 90.00
_symmetry_space_group_name_H-M 'P 1'
_symmetry_Int_Tables_number 1
loop_
_symmetry_equiv_pos_as_xyz
'x,y,z'
loop_
_atom_site_label
_atom_site_type_symbol
_atom_site_fract_x
_atom_site_fract_y
_atom_site_fract_z
Pm1 Pm 0.0000 0.5000 0.2482
Pm2 Pm 0.5000 0.0000 0.7518
Ga1 Ga 0.0000 0.0000 0.0000
Ga2 Ga 0.0000 0.5000 0.6322
Ga3 Ga 0.5000 0.0000 0.3678
Pd1 Pd 0.5000 0.5000 0.0000
Au1 Au 0.0000 0.0000 0.5000
Au2 Au 0.0000 0.5000 0.8502
Au3 Au 0.5000 0.0000 0.1498
Au4 Au 0.5000 0.5000 0.5000
```

The calculation puts the density of states at the Fermi level at 4.8 states/eV/f.u. For the calculated volume, the calculation gives 20.69 A^3/atom. The value obtained for the energy of formation is -6.1 eV/f.u.

(2)
A relaxed BaCd2Te crystal, computed with PBE.

CIF file:
```
data_BaCd2Te
_chemical_formula_sum 'Ba4 Cd8 Te4'
_cell_length_a 9.2924
_cell_length_b 9.2924
_cell_length_c 6.6593
_cell_angle_alpha 90.00
_cell_angle_beta 90.00
_cell_angle_gamma 90.00
_symmetry_space_group_name_H-M 'P 1'
_symmetry_Int_Tables_number 1
loop_
_symmetry_equiv_pos_as_xyz
'x,y,z'
loop_
_atom_site_label
_atom_site_type_symbol
_atom_site_fract_x
_atom_site_fract_y
_atom_site_fract_z
Ba1 Ba 0.0000 0.0000 0.0000
Ba2 Ba 0.0000 0.5000 0.2500
Ba3 Ba 0.5000 0.0000 0.7500
Ba4 Ba 0.5000 0.5000 0.5000
Cd1 Cd 0.2123 0.2500 0.6250
Cd2 Cd 0.2500 0.7123 0.8750
Cd3 Cd 0.2500 0.7877 0.3750
Cd4 Cd 0.2877 0.2500 0.1250
Cd5 Cd 0.7123 0.7500 0.1250
Cd6 Cd 0.7500 0.2123 0.3750
Cd7 Cd 0.7500 0.2877 0.8750
Cd8 Cd 0.7877 0.7500 0.6250
Te1 Te 0.0000 0.0000 0.5000
Te2 Te 0.0000 0.5000 0.7500
Te3 Te 0.5000 0.0000 0.2500
Te4 Te 0.5000 0.5000 0.0000
```

The calculation puts the density of states at the Fermi level at 0.0 states/eV/f.u. For the calculated volume, the calculation gives 35.94 A^3/atom. The raw formation energy comes out at -0.508 eV per atom.

(3)
A relaxed CrPHN2 crystal, computed with PBE.

CIF file:
```
data_CrPHN2
_chemical_formula_sum 'Cr1 P1 H1 N2'
_cell_length_a 3.7837
_cell_length_b 3.7837
_cell_length_c 2.7737
_cell_angle_alpha 90.00
_cell_angle_beta 90.00
_cell_angle_gamma 90.00
_symmetry_space_group_name_H-M 'P 1'
_symmetry_Int_Tables_number 1
loop_
_symmetry_equiv_pos_as_xyz
'x,y,z'
loop_
_atom_site_label
_atom_site_type_symbol
_atom_site_fract_x
_atom_site_fract_y
_atom_site_fract_z
Cr1 Cr 0.0000 0.0000 0.0000
P1 P 0.5000 0.5000 0.0000
H1 H 0.5000 0.5000 0.5000
N1 N 0.0000 0.5000 0.5000
N2 N 0.5000 0.0000 0.5000
```

The calculation puts the density of states at the Fermi level at 4.3 states/eV/f.u. For the calculated volume, the calculation gives 7.94 A^3/atom. Its total energy is -27.35 eV/cell.

(4)
A relaxed Na2CrCuS4 crystal, computed with PBE.

CIF file:
```
data_Na2CrCuS4
_chemical_formula_sum 'Na4 Cr2 Cu2 S8'
_cell_length_a 7.2688
_cell_length_b 7.2688
_cell_length_c 5.8194
_cell_angle_alpha 90.00
_cell_angle_beta 90.00
_cell_angle_gamma 90.00
_symmetry_space_group_name_H-M 'P 1'
_symmetry_Int_Tables_number 1
loop_
_symmetry_equiv_pos_as_xyz
'x,y,z'
loop_
_atom_site_label
_atom_site_type_symbol
_atom_site_fract_x
_atom_site_fract_y
_atom_site_fract_z
Na1 Na 0.0000 0.5000 0.0000
Na2 Na 0.0000 0.5000 0.5000
Na3 Na 0.5000 0.0000 0.0000
Na4 Na 0.5000 0.0000 0.5000
Cr1 Cr 0.0000 0.0000 0.0000
Cr2 Cr 0.5000 0.5000 0.5000
Cu1 Cu 0.0000 0.0000 0.5000
Cu2 Cu 0.5000 0.5000 0.0000
S1 S 0.1662 0.1662 0.7719
S2 S 0.1662 0.8338 0.2281
S3 S 0.3338 0.3338 0.2719
S4 S 0.3338 0.6662 0.7281
S5 S 0.6662 0.3338 0.7281
S6 S 0.6662 0.6662 0.2719
S7 S 0.8338 0.1662 0.2281
S8 S 0.8338 0.8338 0.7719
```

The calculation puts the density of states at the Fermi level at 3.2 states/eV/f.u. For the calculated volume, the calculation gives 19.22 A^3/atom. The raw formation energy comes out at -0.649 eV per atom.

(5)
A relaxed SmHoTe2 crystal, computed with PBE.

CIF file:
```
data_SmHoTe2
_chemical_formula_sum 'Sm2 Ho2 Te4'
_cell_length_a 7.5541
_cell_length_b 4.3891
_cell_length_c 7.6561
_cell_angle_alpha 90.00
_cell_angle_beta 109.49
_cell_angle_gamma 90.00
_symmetry_space_group_name_H-M 'P 1'
_symmetry_Int_Tables_number 1
loop_
_symmetry_equiv_pos_as_xyz
'x,y,z'
loop_
_atom_site_label
_atom_site_type_symbol
_atom_site_fract_x
_atom_site_fract_y
_atom_site_fract_z
Sm1 Sm 0.0000 0.0000 0.0000
Sm2 Sm 0.5000 0.5000 0.0000
Ho1 Ho 0.0000 0.5000 0.5000
Ho2 Ho 0.5000 0.0000 0.5000
Te1 Te 0.2468 0.0000 0.7405
Te2 Te 0.2532 0.5000 0.2595
Te3 Te 0.7468 0.5000 0.7405
Te4 Te 0.7532 0.0000 0.2595
```

The energy above the most stable polymorph in this dataset is 0.029 eV per atom. The calculation puts the density of states at the Fermi level at 2.3 states/eV/f.u. For the calculated volume, the calculation gives 29.91 A^3/atom. The raw formation energy comes out at -1.317 eV per atom.

(6)
A relaxed SrSbTeI2 crystal, computed with PBE.

CIF file:
```
data_SrSbTeI2
_chemical_formula_sum 'Sr1 Sb1 Te1 I2'
_cell_length_a 6.1930
_cell_length_b 6.1930
_cell_length_c 6.6322
_cell_angle_alpha 90.00
_cell_angle_beta 90.00
_cell_angle_gamma 90.00
_symmetry_space_group_name_H-M 'P 1'
_symmetry_Int_Tables_number 1
loop_
_symmetry_equiv_pos_as_xyz
'x,y,z'
loop_
_atom_site_label
_atom_site_type_symbol
_atom_site_fract_x
_atom_site_fract_y
_atom_site_fract_z
Sr1 Sr 0.0000 0.0000 0.0000
Sb1 Sb 0.5000 0.5000 0.5000
Te1 Te 0.0000 0.0000 0.5000
I1 I 0.0000 0.5000 0.0000
I2 I 0.5000 0.0000 0.0000
```

The energy above the most stable polymorph in this dataset is 0.334 eV per atom. The calculation puts the density of states at the Fermi level at 3.4 states/eV/f.u. For the calculated volume, the calculation gives 50.87 A^3/atom. The raw formation energy comes out at -0.161 eV per atom.

- What is the calculated volume in the second record?
  35.94 A^3/atom